Entry from Alexandria: crystalline LaAg2Cl at its relaxed geometry (GGA-PBE).

The calculation puts the distance to the lowest polymorph of the same formula at 0.88 eV per formula unit. The raw formation energy comes out at -0.45 eV/atom. As for the volume: 105.6 Å³/cell. As for the uncorrected energy: -14.27 eV for the cell shown.

Unit cell a=4.323 b=4.323 c=5.648 alpha=90.00 beta=90.00 gamma=90.00
Element x y z (fractional)
La: 0.000 0.000 0.000
Ag: 0.500 0.500 0.249
Ag: 0.500 0.500 0.751
Cl: 0.000 0.000 0.500

***

Entry from Alexandria: crystalline La2AgCl at its relaxed geometry (GGA-PBE).

The calculation puts the distance to the lowest polymorph of the same formula at 0.88 eV per formula unit. The raw formation energy comes out at -0.65 eV/atom. As for the volume: 107.0 Å³/cell. As for the uncorrected energy: -17.17 eV for the cell shown.

Unit cell a=5.328 b=5.328 c=5.328 alpha=60.00 beta=60.00 gamma=60.00
Element x y z (fractional)
La: 0.250 0.250 0.250
La: 0.750 0.750 0.750
Ag: 0.000 0.000 0.000
Cl: 0.500 0.500 0.500

***

Entry from Alexandria: crystalline Li2LaAgCl6 at its relaxed geometry (GGA-PBE).

The raw formation energy comes out at -1.73 eV/atom. As for the volume: 242.8 Å³/cell. As for the uncorrected energy: -40.02 eV for the cell shown.

Unit cell a=6.779 b=6.782 c=7.233 alpha=90.08 beta=117.83 gamma=119.89
Element x y z (fractional)
Li: 0.000 0.000 0.000
Li: 0.012 0.506 0.518
La: 0.408 0.204 0.612
Ag: 0.435 0.717 0.150
Cl: 0.165 0.887 0.799
Cl: 0.166 0.776 0.299
Cl: 0.522 0.634 0.800
Cl: 0.524 0.389 0.299
Cl: 0.911 0.135 0.299
Cl: 0.911 0.277 0.798

***

Entry from Alexandria: crystalline NaLaAgCl5 at its relaxed geometry (GGA-PBE).

The raw formation energy comes out at -1.72 eV/atom. As for the volume: 513.3 Å³/cell. As for the uncorrected energy: -64.21 eV for the cell shown.

Unit cell a=7.727 b=7.727 c=10.238 alpha=100.45 beta=100.45 gamma=116.54
Element x y z (fractional)
Na: 0.078 0.922 0.750
Na: 0.922 0.078 0.250
La: 0.500 0.500 0.000
La: 0.500 0.500 0.500
Ag: 0.211 0.789 0.250
Ag: 0.789 0.211 0.750
Cl: 0.084 0.238 0.944
Cl: 0.153 0.493 0.355
Cl: 0.238 0.084 0.444
Cl: 0.411 0.589 0.750
Cl: 0.493 0.153 0.855
Cl: 0.507 0.847 0.145
Cl: 0.589 0.411 0.250
Cl: 0.762 0.916 0.556
Cl: 0.847 0.507 0.645
Cl: 0.916 0.762 0.056

***

Entry from Alexandria: crystalline Na2LaAgCl6 at its relaxed geometry (GGA-PBE).

The raw formation energy comes out at -1.75 eV/atom. As for the volume: 279.1 Å³/cell. As for the uncorrected energy: -38.99 eV for the cell shown.

Unit cell a=7.106 b=7.109 c=7.564 alpha=90.16 beta=117.82 gamma=119.83
Element x y z (fractional)
Na: 0.000 0.000 0.000
Na: 0.009 0.505 0.513
La: 0.403 0.201 0.604
Ag: 0.422 0.710 0.130
Cl: 0.218 0.805 0.315
Cl: 0.220 0.914 0.814
Cl: 0.509 0.595 0.816
Cl: 0.510 0.410 0.315
Cl: 0.900 0.305 0.814
Cl: 0.907 0.100 0.316

***

Entry from Alexandria: crystalline NaLaAg2Cl8 at its relaxed geometry (GGA-PBE).

The raw formation energy comes out at -1.19 eV/atom. As for the volume: 316.8 Å³/cell. As for the uncorrected energy: -40.96 eV for the cell shown.

Unit cell a=8.328 b=8.328 c=8.328 alpha=131.55 beta=131.55 gamma=70.94
Element x y z (fractional)
Na: 0.000 0.000 0.000
La: 0.250 0.750 0.500
Ag: 0.500 0.500 0.000
Ag: 0.750 0.250 0.500
Cl: 0.270 0.729 0.139
Cl: 0.271 0.410 0.541
Cl: 0.388 0.019 0.040
Cl: 0.590 0.131 0.861
Cl: 0.652 0.612 0.631
Cl: 0.869 0.730 0.459
Cl: 0.979 0.348 0.960
Cl: 0.981 0.021 0.369

***

| no. | DOS(E_F) (states/eV/atom) |
| --- | --- |
| 1 | 0.93 |
| 2 | 0.64 |
| 3 | 0.00 |
| 4 | 0.00 |
| 5 | 0.00 |
| 6 | 0.65 |